a:
{"formula": "Li3CuPd6", "functional": "PBE", "state": "optimized geometry", "lattice": [[8.231, 0.000, 0.000], [0.000, 3.978, 0.000], [-0.630, 0.000, 8.651]], "species": ["Li", "Li", "Li", "Li", "Li", "Li", "Cu", "Cu", "Pd", "Pd", "Pd", "Pd", "Pd", "Pd", "Pd", "Pd", "Pd", "Pd", "Pd", "Pd"], "fractional_positions": [[0.049, 0.250, 0.397], [0.150, 0.750, 0.189], [0.252, 0.250, 0.982], [0.748, 0.750, 0.018], [0.850, 0.250, 0.811], [0.951, 0.750, 0.603], [0.448, 0.250, 0.597], [0.552, 0.750, 0.403], [0.042, 0.750, 0.897], [0.137, 0.250, 0.688], [0.241, 0.750, 0.486], [0.342, 0.250, 0.296], [0.347, 0.750, 0.790], [0.445, 0.750, 0.100], [0.555, 0.250, 0.900], [0.653, 0.250, 0.210], [0.658, 0.750, 0.704], [0.759, 0.250, 0.514], [0.863, 0.750, 0.312], [0.958, 0.250, 0.103]], "dos_ef_per_ev_atom": 0.65, "sg": "P2_1/m, No. 11"}

***

b:
{"formula": "Li3CuPd6", "functional": "PBE", "state": "optimized geometry", "lattice": [[4.246, -7.421, 0.000], [4.246, 7.421, 0.000], [0.000, 0.000, 4.759]], "species": ["Li", "Li", "Li", "Li", "Li", "Li", "Cu", "Cu", "Pd", "Pd", "Pd", "Pd", "Pd", "Pd", "Pd", "Pd", "Pd", "Pd", "Pd", "Pd"], "fractional_positions": [[0.105, 0.895, 0.500], [0.232, 0.445, 0.174], [0.445, 0.232, 0.674], [0.555, 0.768, 0.174], [0.768, 0.555, 0.674], [0.895, 0.105, 0.000], [0.274, 0.726, 0.442], [0.726, 0.274, 0.942], [0.060, 0.467, 0.754], [0.127, 0.210, 0.568], [0.197, 0.803, 0.952], [0.210, 0.127, 0.068], [0.438, 0.562, 0.673], [0.467, 0.060, 0.254], [0.533, 0.940, 0.754], [0.562, 0.438, 0.173], [0.790, 0.873, 0.568], [0.803, 0.197, 0.452], [0.873, 0.790, 0.068], [0.940, 0.533, 0.254]], "dos_ef_per_ev_atom": 0.74, "sg": "Cmc2_1, No. 36"}

***

Name the least stable of them. b.

***

a:
{"formula": "Li2Cu3Pd4", "functional": "PBE", "state": "optimized geometry", "lattice": [[3.661, -2.105, 0.000], [3.661, 2.105, 0.000], [-0.047, 0.000, 7.848]], "species": ["Li", "Li", "Cu", "Cu", "Cu", "Pd", "Pd", "Pd", "Pd"], "fractional_positions": [[0.167, 0.167, 0.213], [0.833, 0.833, 0.787], [0.166, 0.166, 0.539], [0.500, 0.500, 0.000], [0.834, 0.834, 0.461], [0.167, 0.167, 0.883], [0.499, 0.499, 0.670], [0.501, 0.501, 0.330], [0.833, 0.833, 0.117]], "dos_ef_per_ev_atom": 0.28, "sg": "C2/m, No. 12"}

***

b:
{"formula": "Li2Cu3Pd4", "functional": "PBE", "state": "optimized geometry", "lattice": [[5.764, -1.946, 0.000], [5.764, 1.946, 0.000], [-1.869, 0.000, 5.478]], "species": ["Li", "Li", "Cu", "Cu", "Cu", "Pd", "Pd", "Pd", "Pd"], "fractional_positions": [[0.166, 0.166, 0.002], [0.834, 0.834, 0.998], [0.392, 0.392, 0.340], [0.500, 0.500, 0.000], [0.608, 0.608, 0.660], [0.048, 0.048, 0.315], [0.275, 0.275, 0.681], [0.725, 0.725, 0.319], [0.952, 0.952, 0.685]], "dos_ef_per_ev_atom": 0.37, "sg": "C2/m, No. 12"}

***

Name the least stable of them. b.

***

a:
{"formula": "LiCu8Pd6", "functional": "PBE", "state": "optimized geometry", "lattice": [[3.476, 2.007, 5.182], [-3.476, 2.007, 5.182], [0.000, -4.014, 5.182]], "species": ["Li", "Cu", "Cu", "Cu", "Cu", "Cu", "Cu", "Cu", "Cu", "Pd", "Pd", "Pd", "Pd", "Pd", "Pd"], "fractional_positions": [[0.000, 0.000, 0.000], [0.123, 0.452, 0.820], [0.180, 0.877, 0.548], [0.244, 0.244, 0.244], [0.452, 0.820, 0.123], [0.548, 0.180, 0.877], [0.756, 0.756, 0.756], [0.820, 0.123, 0.452], [0.877, 0.548, 0.180], [0.125, 0.645, 0.357], [0.355, 0.643, 0.875], [0.357, 0.125, 0.645], [0.643, 0.875, 0.355], [0.645, 0.357, 0.125], [0.875, 0.355, 0.643]], "dos_ef_per_ev_atom": 0.49, "sg": "R-3, No. 148"}

***

b:
{"formula": "LiCu8Pd6", "functional": "PBE", "state": "optimized geometry", "lattice": [[9.763, 0.000, 0.000], [-4.882, 8.455, 0.000], [0.000, 0.000, 2.672]], "species": ["Li", "Cu", "Cu", "Cu", "Cu", "Cu", "Cu", "Cu", "Cu", "Pd", "Pd", "Pd", "Pd", "Pd", "Pd"], "fractional_positions": [[0.000, 0.000, 0.000], [0.068, 0.264, 0.727], [0.197, 0.932, 0.727], [0.264, 0.197, 0.273], [0.333, 0.667, 0.261], [0.667, 0.333, 0.739], [0.736, 0.803, 0.727], [0.803, 0.068, 0.273], [0.932, 0.736, 0.273], [0.094, 0.636, 0.760], [0.364, 0.458, 0.760], [0.458, 0.094, 0.240], [0.542, 0.906, 0.760], [0.636, 0.542, 0.240], [0.906, 0.364, 0.240]], "dos_ef_per_ev_atom": 0.56, "sg": "P-3, No. 147"}

***

Name the least stable of them. b.